# SmDyTh2Sc5

A relaxed structure of SmDyTh2Sc5 (GGA-PBE, Alexandria via LeMat-Bulk).

Computed properties:
**ΔE_f**: 0.342 eV per atom
**Size of the total moment**: 0.00 Bohr magnetons per cell

a b c (Å): 8.4375 8.4375 9.3825
angles (deg): 116.72 116.72 90.00
Positions (direct):
Sm: 0.2500 0.7500 0.5000
Sm: 0.7500 0.2500 0.5000
Dy: 0.2500 0.2500 0.5000
Dy: 0.7500 0.7500 0.5000
Th: 0.1239 0.3761 0.0000
Th: 0.6239 0.1239 0.0000
Th: 0.3761 0.8761 0.0000
Th: 0.8761 0.6239 0.0000
Sc: 0.9316 0.4316 0.2794
Sc: 0.6522 0.1522 0.7206
Sc: 0.0684 0.5684 0.7206
Sc: 0.1522 0.0684 0.7206
Sc: 0.5684 0.6522 0.7206
Sc: 0.8478 0.9316 0.2794
Sc: 0.4316 0.3478 0.2794
Sc: 0.3478 0.8478 0.2794
Sc: 0.5000 0.5000 0.0000
Sc: 0.0000 0.0000 0.0000

=====

# BeHIr3

A relaxed structure of BeHIr3 (GGA-PBE, Alexandria via LeMat-Bulk).

Computed properties:
**E**: -6.59 eV per atom
**Size of the total moment**: 0.00 Bohr magnetons per cell

a b c (Å): 3.8566 3.8566 3.8566
angles (deg): 90.00 90.00 90.00
Positions (direct):
Be: 0.5000 0.5000 0.5000
Ir: 0.0000 0.5000 0.0000
Ir: 0.0000 0.0000 0.5000
Ir: 0.5000 0.0000 0.0000
H: 0.0000 0.0000 0.0000

=====

# MgRhO3

A relaxed structure of MgRhO3 (GGA-PBE, Alexandria via LeMat-Bulk).

Computed properties:
**Size of the total moment**: 1.22 Bohr magnetons per cell
**Formation energy without anion corrections**: -812 meV/atom

a b c (Å): 3.8689 3.8689 3.8689
angles (deg): 90.00 90.00 90.00
Positions (direct):
Mg: 0.5000 0.5000 0.5000
Rh: 0.0000 0.0000 0.0000
O: 0.0000 0.5000 0.0000
O: 0.0000 0.0000 0.5000
O: 0.5000 0.0000 0.0000

=====

# Sc2Mn2GaFe5

A relaxed structure of Sc2Mn2GaFe5 (GGA-PBE, Alexandria via LeMat-Bulk).

Computed properties:
**ΔE_f**: 0.052 eV per atom
**Size of the total moment**: 19.01 Bohr magnetons per cell

a b c (Å): 3.5861 8.7738 8.7738
angles (deg): 90.00 90.00 90.00
Positions (direct):
Sc: 0.0000 0.6827 0.1827
Sc: 0.0000 0.3173 0.8173
Sc: 0.0000 0.1827 0.3173
Sc: 0.0000 0.8173 0.6827
Mn: 0.0000 0.1121 0.6121
Mn: 0.0000 0.8879 0.3879
Mn: 0.0000 0.6121 0.8879
Mn: 0.0000 0.3879 0.1121
Ga: 0.0000 0.0000 0.0000
Ga: 0.0000 0.5000 0.5000
Fe: 0.5000 0.2051 0.0601
Fe: 0.5000 0.7949 0.9399
Fe: 0.5000 0.0601 0.7949
Fe: 0.5000 0.7051 0.4399
Fe: 0.5000 0.9399 0.2051
Fe: 0.5000 0.2949 0.5601
Fe: 0.5000 0.5601 0.7051
Fe: 0.5000 0.4399 0.2949
Fe: 0.5000 0.5000 0.0000
Fe: 0.5000 0.0000 0.5000

=====

# ScAuSe2

A relaxed structure of ScAuSe2 (GGA-PBE, Alexandria via LeMat-Bulk).

Computed properties:
**Size of the total moment**: 0.00 Bohr magnetons per cell
**Formation energy without anion corrections**: -959 meV/atom

a b c (Å): 12.8160 8.2628 8.2628
angles (deg): 102.81 104.09 75.91
Positions (direct):
Sc: 0.0918 0.0829 0.2010
Sc: 0.4082 0.7010 0.5829
Sc: 0.9082 0.9171 0.7990
Sc: 0.5918 0.2990 0.4171
Sc: 0.3510 0.1946 0.5306
Sc: 0.1490 0.0306 0.6946
Sc: 0.6490 0.8054 0.4694
Sc: 0.8510 0.9694 0.3054
Au: 0.3418 0.4582 0.2740
Au: 0.1582 0.7740 0.9582
Au: 0.6582 0.5418 0.7260
Au: 0.8418 0.2260 0.0418
Au: 0.3505 0.1401 0.0420
Au: 0.1495 0.5420 0.6401
Au: 0.6495 0.8599 0.9580
Au: 0.8505 0.4580 0.3599
Se: 0.0163 0.8042 0.5539
Se: 0.4837 0.0539 0.3042
Se: 0.9837 0.1958 0.4461
Se: 0.5163 0.9461 0.6958
Se: 0.6841 0.1687 0.1282
Se: 0.8159 0.6282 0.6687
Se: 0.3159 0.8313 0.8718
Se: 0.1841 0.3718 0.3313
Se: 0.5028 0.5884 0.2960
Se: 0.9972 0.7960 0.0884
Se: 0.4972 0.4116 0.7040
Se: 0.0028 0.2040 0.9116
Se: 0.7500 0.0760 0.5760
Se: 0.2500 0.9240 0.4240
Se: 0.7500 0.7034 0.2034
Se: 0.2500 0.2966 0.7966

=====

# ScSiRu2

A relaxed structure of ScSiRu2 (GGA-PBE, Alexandria via LeMat-Bulk).

Computed properties:
**Size of the total moment**: 0.00 Bohr magnetons per cell
**Formation energy without anion corrections**: -480 meV/atom

a b c (Å): 4.5782 4.5782 4.9167
angles (deg): 71.87 71.87 38.68
Positions (direct):
Ru: 0.9773 0.9773 0.0435
Ru: 0.5227 0.5227 0.4565
Sc: 0.7500 0.7500 0.7500
Si: 0.2500 0.2500 0.2500

=====

# BeHg2Os

A relaxed structure of BeHg2Os (GGA-PBE, Alexandria via LeMat-Bulk).

Computed properties:
**ΔE_f**: 0.454 eV per atom
**Size of the total moment**: 0.00 Bohr magnetons per cell

a b c (Å): 9.8375 9.8375 9.8375
angles (deg): 16.99 16.99 16.99
Positions (direct):
Be: 0.7620 0.7620 0.7620
Os: 0.4822 0.4822 0.4822
Hg: 0.0167 0.0167 0.0167
Hg: 0.2391 0.2391 0.2391

=====

# KTi2Se4

A relaxed structure of KTi2Se4 (GGA-PBE, Alexandria via LeMat-Bulk).

Computed properties:
**Size of the total moment**: 0.20 Bohr magnetons per cell
**Formation energy without anion corrections**: -1224 meV/atom

a b c (Å): 3.6551 6.2052 8.8698
angles (deg): 109.23 101.89 90.00
Positions (direct):
K: 0.5000 0.5000 0.0000
Se: 0.6553 0.9977 0.3106
Se: 0.3447 0.0023 0.6894
Se: 0.1574 0.4964 0.3149
Se: 0.8426 0.5036 0.6851
Ti: 0.2497 0.2434 0.4994
Ti: 0.7503 0.7566 0.5006

=====

# UTl2Ag2Se4

A relaxed structure of UTl2Ag2Se4 (GGA-PBE, Alexandria via LeMat-Bulk).

Computed properties:
**Size of the total moment**: 2.00 Bohr magnetons per cell
**Formation energy without anion corrections**: -596 meV/atom

a b c (Å): 4.2472 8.0110 7.9971
angles (deg): 110.11 105.40 90.00
Positions (direct):
U: 0.0000 0.0000 0.0000
Tl: 0.1366 0.5775 0.2732
Tl: 0.8634 0.4225 0.7268
Ag: 0.6805 0.9815 0.3610
Ag: 0.3195 0.0185 0.6390
Se: 0.1952 0.2029 0.3904
Se: 0.8048 0.7971 0.6096
Se: 0.5060 0.7617 0.0119
Se: 0.4940 0.2383 0.9881

=====

# Nd5Sm12Th2

A relaxed structure of Nd5Sm12Th2 (GGA-PBE, Alexandria via LeMat-Bulk).

Computed properties:
**ΔE_f**: 0.154 eV per atom
**Size of the total moment**: 0.00 Bohr magnetons per cell

a b c (Å): 7.1348 8.7789 11.7933
angles (deg): 108.81 107.61 90.00
Positions (direct):
Nd: 0.7514 0.5095 0.5028
Nd: 0.6496 0.0945 0.2993
Nd: 0.0000 0.5000 0.0000
Nd: 0.3504 0.9055 0.7007
Nd: 0.2486 0.4905 0.4972
Sm: 0.8590 0.9403 0.7181
Sm: 0.4534 0.7930 0.4005
Sm: 0.9471 0.7930 0.4005
Sm: 0.3626 0.3843 0.2135
Sm: 0.8509 0.3843 0.2135
Sm: 0.5464 0.6999 0.0928
Sm: 0.4536 0.3001 0.9072
Sm: 0.6374 0.6157 0.7865
Sm: 0.1491 0.6157 0.7865
Sm: 0.5466 0.2070 0.5995
Sm: 0.0529 0.2070 0.5995
Sm: 0.1410 0.0597 0.2819
Th: 0.7508 0.0000 0.0000
Th: 0.2492 0.0000 0.0000

=====

# La2Er3Ge3

A relaxed structure of La2Er3Ge3 (GGA-PBE, Alexandria via LeMat-Bulk).

Computed properties:
**ΔE_f**: -0.714 eV per atom
**Size of the total moment**: 0.00 Bohr magnetons per cell

a b c (Å): 8.7045 8.7045 6.5850
angles (deg): 90.00 90.00 120.00
Positions (direct):
La: 0.6667 0.3333 0.0000
La: 0.3333 0.6667 0.0000
La: 0.3333 0.6667 0.5000
La: 0.6667 0.3333 0.5000
Er: 0.7622 0.7622 0.7500
Er: 0.2378 0.0000 0.7500
Er: 0.0000 0.2378 0.7500
Er: 0.2378 0.2378 0.2500
Er: 0.7622 0.0000 0.2500
Er: 0.0000 0.7622 0.2500
Ge: 0.3838 0.3838 0.7500
Ge: 0.6162 0.0000 0.7500
Ge: 0.0000 0.6162 0.7500
Ge: 0.6162 0.6162 0.2500
Ge: 0.3838 0.0000 0.2500
Ge: 0.0000 0.3838 0.2500

=====

# BeNiTeN2

A relaxed structure of BeNiTeN2 (GGA-PBE, Alexandria via LeMat-Bulk).

Computed properties:
**Size of the total moment**: 0.00 Bohr magnetons per cell
**Formation energy without anion corrections**: 1219 meV/atom

a b c (Å): 3.4415 3.4415 5.9963
angles (deg): 90.00 90.00 90.00
Positions (direct):
Ni: 0.5000 0.5000 0.5000
Te: 0.0000 0.0000 0.5000
Be: 0.0000 0.0000 0.0000
N: 0.0000 0.5000 0.0000
N: 0.5000 0.0000 0.0000